No. 1
This record from the Alexandria database describes a relaxed structure of LiZr2Be. The functional is PBE.

formation energy from the elements = 238 meV per atom
magnetization = 0.0 μB/cell
volume = 72.3 Å³/f.u.
SG = No. 25

Lattice parameters (Å, degrees): 3.1779 3.7612 6.0492 90.00 90.00 90.00
Atoms (fractional coordinates):
Li (0.5000, 0.5000, 0.7249)
Be (0.0000, 0.0000, 0.4924)
Zr (0.5000, 0.5000, 0.2912)
Zr (0.0000, 0.0000, 0.9915)

***

No. 2
This record from the Alexandria database describes a relaxed structure of LaCrFe3. The functional is PBE.

formation energy from the elements = 2146 meV per atom
magnetization = 4.0 μB/cell
volume = 88.4 Å³/f.u.
SG = No. 221

Lattice parameters (Å, degrees): 4.4540 4.4540 4.4540 90.00 90.00 90.00
Each line ends with the local moment (μB).
Atoms (fractional coordinates):
Fe (0.0000, 0.0000, 0.5000)  1.30
Fe (0.5000, 0.0000, 0.0000)  1.40
Fe (0.0000, 0.5000, 0.0000)  1.47
Cr (0.5000, 0.5000, 0.5000)  0.31
La (0.0000, 0.0000, 0.0000)  -0.26

***

No. 3
This record from the Alexandria database describes a relaxed structure of DyTiZnIr2. The functional is PBE.

formation energy from the elements = -665 meV per atom
magnetization = 0.0 μB/cell
volume = 92.5 Å³/f.u.
SG = No. 119

Lattice parameters (Å, degrees): 3.9797 3.9797 6.4850 107.87 107.87 90.00
Atoms (fractional coordinates):
Ir (0.6103, 0.6103, 0.2205)
Ir (0.3897, 0.3897, 0.7795)
Ti (0.2500, 0.7500, 0.5000)
Dy (0.0000, 0.0000, 0.0000)
Zn (0.7500, 0.2500, 0.5000)

***

No. 4
This record from the Alexandria database describes a relaxed structure of Ca2CeHfO6. The functional is PBE.

magnetization = 0.0 μB/cell
energy relative to the elements, uncorrected = -3.29 eV/atom
volume = 143.9 Å³/f.u.
SG = No. 146

Lattice parameters (Å, degrees): 5.7870 5.7870 5.9805 61.06 61.06 60.00
Atoms (fractional coordinates):
O (0.4452, 0.6715, 0.7731)
O (0.9688, 0.5857, 0.2580)
O (0.1102, 0.4452, 0.7731)
O (0.1876, 0.9688, 0.2579)
O (0.5857, 0.1876, 0.2579)
O (0.6715, 0.1102, 0.7731)
Ca (0.5344, 0.5344, 0.3969)
Ca (0.0324, 0.0324, 0.9027)
Ce (0.8115, 0.8115, 0.5656)
Hf (0.3144, 0.3143, 0.0570)